No. 1
HgSb2As (PBE, relaxed); DOS(E_F) = 1.73 states/eV per cell; calculated density = 8.8 Mg/m³; raw formation energy = 0.29 eV per atom
1.0
0.000 3.663 3.663
3.663 0.000 3.663
3.663 3.663 0.000
Hg Sb As
1 2 1
Direct
0.000 0.000 0.000
0.250 0.250 0.250
0.750 0.750 0.750
0.500 0.500 0.500

No. 2
ZnIr2Pt (PBE, relaxed); DFT formation energy = -139 meV per atom; DOS(E_F) = 3.04 states/eV per cell; calculated density = 18.2 Mg/m³
1.0
2.759 0.000 0.000
0.000 2.759 0.000
0.000 0.000 7.737
Zn Ir Pt
1 2 1
Direct
0.000 0.000 0.000
0.000 0.000 0.488
0.500 0.500 0.252
0.500 0.500 0.750

No. 3
La2Tb3Pm3 (PBE, relaxed); DFT formation energy = 122 meV per atom; DOS(E_F) = 23.36 states/eV per cell; calculated density = 7.1 Mg/m³
1.0
1.815 -8.840 0.000
1.815 8.840 0.000
0.000 0.000 17.327
La Tb Pm
4 6 6
Direct
0.224 0.776 0.652
0.224 0.776 0.848
0.776 0.224 0.152
0.776 0.224 0.348
0.004 0.996 0.601
0.004 0.996 0.899
0.419 0.581 0.250
0.581 0.419 0.750
0.996 0.004 0.101
0.996 0.004 0.399
0.353 0.647 0.509
0.353 0.647 0.991
0.395 0.605 0.750
0.605 0.395 0.250
0.647 0.353 0.009
0.647 0.353 0.491

No. 4
Hf5Tl2 (PBE, relaxed); DFT formation energy = 158 meV per atom; DOS(E_F) = 8.06 states/eV per cell; calculated density = 13.3 Mg/m³
1.0
7.557 -1.571 0.000
7.557 1.571 0.000
-3.664 0.000 6.864
Hf Tl
5 2
Direct
0.000 0.000 0.000
0.274 0.274 0.848
0.347 0.347 0.565
0.653 0.653 0.435
0.726 0.726 0.152
0.429 0.429 0.271
0.571 0.571 0.729

No. 5
Mg3Sn5 (PBE, relaxed); DFT formation energy = -72 meV per atom; DOS(E_F) = 3.79 states/eV per cell; calculated density = 5.5 Mg/m³
1.0
4.361 -4.545 0.000
4.361 4.545 0.000
0.000 0.000 5.059
Mg Sn
3 5
Direct
0.000 0.000 0.000
0.283 0.283 0.500
0.717 0.717 0.500
0.000 0.500 0.000
0.214 0.786 0.500
0.500 0.000 0.000
0.500 0.500 0.000
0.786 0.214 0.500

No. 6
CuH8Rh2 (PBE, relaxed); DOS(E_F) = 1.90 states/eV per cell; calculated density = 6.0 Mg/m³
1.0
3.965 -2.950 0.000
3.965 2.950 0.000
-1.432 0.000 3.281
Cu H Rh
1 8 2
Direct
0.000 0.000 0.000
0.066 0.663 0.642
0.211 0.211 0.918
0.337 0.934 0.358
0.428 0.428 0.170
0.572 0.572 0.830
0.663 0.066 0.642
0.789 0.789 0.082
0.934 0.337 0.358
0.322 0.322 0.615
0.678 0.678 0.385

No. 7
Nd2InSn2Rh5 (PBE, relaxed); DFT formation energy = -534 meV per atom; DOS(E_F) = 8.04 states/eV per cell; calculated density = 9.6 Mg/m³
1.0
10.332 0.000 0.000
0.000 10.332 0.000
0.000 0.000 3.740
Nd In Sn Rh
4 2 4 10
Direct
0.172 0.328 0.000
0.328 0.828 0.000
0.672 0.172 0.000
0.828 0.672 0.000
0.000 0.000 0.000
0.500 0.500 0.000
0.126 0.626 0.000
0.374 0.126 0.000
0.626 0.874 0.000
0.874 0.374 0.000
0.000 0.500 0.500
0.060 0.797 0.500
0.203 0.060 0.500
0.297 0.560 0.500
0.440 0.297 0.500
0.500 0.000 0.500
0.560 0.703 0.500
0.703 0.440 0.500
0.797 0.940 0.500
0.940 0.203 0.500

No. 8
CrGe2W (PBE, relaxed); DFT formation energy = 440 meV per atom; DOS(E_F) = 3.56 states/eV per cell; calculated density = 10.0 Mg/m³
1.0
1.412 0.815 9.208
-1.412 0.815 9.208
0.000 -1.630 9.208
Cr Ge W
1 2 1
Direct
0.000 0.000 0.000
0.404 0.404 0.404
0.596 0.596 0.596
0.500 0.500 0.500

No. 9
NaAgP2S6 (PBE, relaxed); DOS(E_F) = 0.00 states/eV per cell; calculated density = 2.6 Mg/m³; raw formation energy = -0.32 eV per atom
1.0
6.386 -6.562 0.000
6.386 6.562 0.000
-1.745 0.000 5.803
Na Ag P S
2 2 4 12
Direct
0.125 0.875 0.750
0.875 0.125 0.250
0.325 0.675 0.250
0.675 0.325 0.750
0.206 0.358 0.777
0.358 0.206 0.277
0.642 0.794 0.723
0.794 0.642 0.223
0.042 0.200 0.705
0.152 0.568 0.893
0.200 0.042 0.205
0.302 0.403 0.497
0.403 0.302 0.997
0.432 0.848 0.607
0.568 0.152 0.393
0.597 0.698 0.003
0.698 0.597 0.503
0.800 0.958 0.795
0.848 0.432 0.107
0.958 0.800 0.295

No. 10
Cs2MgMnHg (PBE, relaxed); DFT formation energy = 623 meV per atom; DOS(E_F) = 5.22 states/eV per cell; calculated density = 4.2 Mg/m³
1.0
6.338 0.000 0.000
0.000 6.338 0.000
0.000 0.000 5.313
Cs Mg Mn Hg
2 1 1 1
Direct
0.000 0.500 0.000
0.500 0.000 0.000
0.000 0.000 0.500
0.500 0.500 0.000
0.500 0.500 0.500

No. 11
GdYRu4 (PBE, relaxed); DFT formation energy = -272 meV per atom; DOS(E_F) = 5.91 states/eV per cell; calculated density = 10.0 Mg/m³
1.0
0.000 3.784 3.784
3.784 0.000 3.784
3.784 3.784 0.000
Gd Y Ru
1 1 4
Direct
0.000 0.000 0.000
0.750 0.750 0.750
0.375 0.375 0.375
0.375 0.375 0.875
0.375 0.875 0.375
0.875 0.375 0.375

No. 12
Tc2Ir (PBE, relaxed); DFT formation energy = 276 meV per atom; DOS(E_F) = 15.25 states/eV per cell; calculated density = 14.2 Mg/m³
1.0
5.115 0.000 0.000
-2.557 4.429 0.000
0.000 0.000 8.044
Tc Ir
8 4
Direct
0.000 0.000 0.000
0.000 0.000 0.500
0.176 0.351 0.250
0.176 0.824 0.250
0.351 0.176 0.750
0.649 0.824 0.250
0.824 0.176 0.750
0.824 0.649 0.750
0.333 0.667 0.582
0.333 0.667 0.918
0.667 0.333 0.082
0.667 0.333 0.418

No. 13
NiRuBr2 (PBE, relaxed); DOS(E_F) = 3.79 states/eV per cell; calculated density = 5.6 Mg/m³; raw formation energy = 0.37 eV per atom
1.0
1.926 -3.023 0.000
1.926 3.023 0.000
0.000 0.000 8.186
Ni Ru Br
1 1 2
Direct
0.000 0.000 0.000
0.500 0.500 0.842
0.000 0.000 0.627
0.500 0.500 0.176

No. 14
MgBe2Pt (PBE, relaxed); DFT formation energy = -309 meV per atom; DOS(E_F) = 0.78 states/eV per cell; calculated density = 7.9 Mg/m³
1.0
4.380 -1.614 0.000
4.380 1.614 0.000
-1.742 0.000 3.510
Mg Be Pt
1 2 1
Direct
0.000 0.000 0.000
0.490 0.490 0.491
0.770 0.770 0.271
0.230 0.230 0.729

No. 15
Dy4AsIrSe2 (PBE, relaxed); DOS(E_F) = 5.30 states/eV per cell; calculated density = 9.1 Mg/m³; raw formation energy = -1.45 eV per atom
1.0
7.108 0.000 0.000
0.000 4.057 0.000
-2.322 0.000 6.839
Dy As Ir Se
4 1 1 2
Direct
0.233 0.000 0.228
0.244 0.500 0.768
0.756 0.500 0.232
0.767 0.000 0.772
0.500 0.000 0.000
0.000 0.500 0.000
0.000 0.000 0.500
0.500 0.500 0.500

No. 16
Be2ReAu (PBE, relaxed); DFT formation energy = 196 meV per atom; DOS(E_F) = 1.18 states/eV per cell; calculated density = 12.7 Mg/m³
1.0
3.973 -1.326 0.000
3.973 1.326 0.000
-0.906 0.000 4.990
Be Re Au
2 1 1
Direct
0.248 0.248 0.303
0.752 0.752 0.697
0.000 0.000 0.500
0.500 0.500 0.000

No. 17
Zn6CuNi2 (PBE, relaxed); DFT formation energy = -125 meV per atom; DOS(E_F) = 3.10 states/eV per cell; calculated density = 8.1 Mg/m³
1.0
3.625 -2.085 0.000
3.625 2.085 0.000
-0.043 0.000 7.804
Zn Cu Ni
6 1 2
Direct
0.001 0.001 0.184
0.333 0.333 0.599
0.333 0.333 0.937
0.667 0.667 0.063
0.667 0.667 0.401
0.999 0.999 0.816
0.000 0.000 0.500
0.334 0.334 0.268
0.666 0.666 0.732

No. 18
CaTlHAu (PBE, relaxed); DOS(E_F) = 1.31 states/eV per cell; calculated density = 9.3 Mg/m³
1.0
4.924 0.000 0.000
-2.462 4.264 0.000
0.000 0.000 3.764
Ca Tl H Au
1 1 1 1
Direct
0.000 0.000 0.000
0.667 0.333 0.500
0.333 0.667 0.000
0.333 0.667 0.500

No. 19
TbSi3Rh5 (PBE, relaxed); DOS(E_F) = 25.79 states/eV per cell; calculated density = 9.2 Mg/m³; raw formation energy = -0.98 eV per atom
1.0
15.614 0.000 0.000
-7.807 13.522 0.000
0.000 0.000 3.888
Tb Si Rh
6 18 30
Direct
0.100 0.706 0.250
0.294 0.394 0.250
0.394 0.100 0.750
0.606 0.900 0.250
0.706 0.606 0.750
0.900 0.294 0.750
0.062 0.432 0.250
0.119 0.869 0.750
0.131 0.250 0.750
0.240 0.681 0.750
0.250 0.119 0.250
0.319 0.558 0.750
0.370 0.938 0.250
0.432 0.370 0.750
0.442 0.760 0.750
0.558 0.240 0.250
0.568 0.630 0.250
0.630 0.062 0.750
0.681 0.442 0.250
0.750 0.881 0.750
0.760 0.319 0.250
0.869 0.750 0.250
0.881 0.131 0.250
0.938 0.568 0.750
0.028 0.889 0.250
0.044 0.270 0.250
0.075 0.539 0.750
0.111 0.139 0.250
0.139 0.028 0.750
0.153 0.414 0.750
0.223 0.571 0.250
0.226 0.956 0.250
0.261 0.847 0.750
0.270 0.226 0.750
0.347 0.777 0.250
0.414 0.261 0.250
0.429 0.653 0.250
0.461 0.537 0.750
0.463 0.925 0.750
0.537 0.075 0.250
0.539 0.463 0.250
0.571 0.347 0.750
0.586 0.739 0.750
0.653 0.223 0.750
0.730 0.774 0.250
0.739 0.153 0.250
0.774 0.044 0.750
0.777 0.429 0.750
0.847 0.586 0.250
0.861 0.972 0.250
0.889 0.861 0.750
0.925 0.461 0.250
0.956 0.730 0.750
0.972 0.111 0.750

No. 20
Tl6SnPb2 (PBE, relaxed); DFT formation energy = 2 meV per atom; DOS(E_F) = 3.42 states/eV per cell; calculated density = 10.6 Mg/m³
1.0
7.551 -2.554 0.000
7.551 2.554 0.000
-2.394 0.000 7.151
Tl Sn Pb
6 1 2
Direct
0.109 0.109 0.174
0.218 0.218 0.833
0.337 0.337 0.499
0.663 0.663 0.501
0.782 0.782 0.167
0.891 0.891 0.826
0.000 0.000 0.500
0.445 0.445 0.167
0.555 0.555 0.833

No. 21
Y2TePt (PBE, relaxed); DOS(E_F) = 3.60 states/eV per cell; calculated density = 8.2 Mg/m³; raw formation energy = -1.15 eV per atom
1.0
4.283 0.000 0.000
0.000 2.053 5.747
0.000 -2.053 5.747
Y Te Pt
2 1 1
Direct
0.000 0.000 0.000
0.500 0.289 0.289
0.500 0.568 0.568
0.000 0.756 0.756

No. 22
Er2ThMnC4 (PBE, relaxed); DFT formation energy = -153 meV per atom; DOS(E_F) = 7.81 states/eV per cell; calculated density = 9.2 Mg/m³
1.0
1.733 -5.887 0.000
1.733 5.887 0.000
0.000 0.000 11.798
Er Th Mn C
4 2 2 8
Direct
0.131 0.869 0.545
0.131 0.869 0.955
0.869 0.131 0.045
0.869 0.131 0.455
0.412 0.588 0.750
0.588 0.412 0.250
0.325 0.675 0.250
0.675 0.325 0.750
0.090 0.910 0.750
0.232 0.768 0.134
0.232 0.768 0.366
0.500 0.500 0.000
0.500 0.500 0.500
0.768 0.232 0.634
0.768 0.232 0.866
0.910 0.090 0.250

Table of total DFT energy (no corrections) (eV per atom), in record order: -3.010, -6.399, -4.628, -7.627, -3.172, -4.047, -6.238, -7.513, -4.293, -1.932, -9.880, -9.588, -4.226, -4.081, -6.313, -5.599, -2.714, -3.067, -7.385, -2.845, -6.680, -7.979